Ba2NpP3Pt12 after structural relaxation, computed with PBE.

Cell and atoms, written as extended XYZ:
```
18
Lattice="8.101 -0.107 -0.076 3.907 7.097 -0.076 3.907 2.274 6.724" Properties=species:S:1:pos:R:3 pbc="T T T"
Ba 6.282 3.657 2.594
Np 0.000 0.000 0.000
Pt 9.995 8.191 5.810
Pt 8.377 4.876 0.513
P 1.954 1.137 3.362
Pt 12.059 4.646 5.810
P 4.051 -0.054 -0.038
Pt 8.377 2.096 4.432
Pt 12.059 7.019 2.464
Pt 3.857 4.618 0.761
Pt 3.857 2.245 4.107
Pt 5.921 1.073 0.761
Ba 9.634 5.608 3.977
P 1.954 3.549 -0.038
Pt 7.539 7.168 2.139
Pt 5.960 6.249 4.432
Pt 7.539 4.388 6.058
Pt 9.956 3.015 2.139
```

Results
VASP energy	-6.1939	eV/atom
magnetic moment	2.64	μB/cell
space-group type	R-3m

***

BaNpP2Ru after structural relaxation, computed with PBE.

Cell and atoms, written as extended XYZ:
```
5
Lattice="4.074 0.000 0.000 0.000 4.074 0.000 -2.037 -2.037 7.047" Properties=species:S:1:pos:R:3 pbc="T T T"
Ba 0.000 0.000 0.000
P 0.000 0.000 5.261
Ru 0.000 2.037 3.523
Np 2.037 0.000 3.523
P 2.037 2.037 1.786
```

Results
VASP energy	-7.5168	eV/atom
magnetic moment	2.96	μB/cell
space-group type	I-4m2

***

BaNpP2S8 after structural relaxation, computed with PBE.

Cell and atoms, written as extended XYZ:
```
12
Lattice="-4.602 -3.128 -2.528 0.116 0.917 6.041 -4.726 7.842 -1.100" Properties=species:S:1:pos:R:3 pbc="T T T"
S -4.691 5.238 4.388
S -3.157 -1.568 0.299
Ba 0.000 0.000 0.000
P -4.181 0.131 0.061
S -3.031 1.685 0.829
S -4.521 0.393 -1.974
S -6.181 3.947 1.585
S -6.055 7.199 2.115
S -5.974 -0.052 1.098
S -3.238 5.683 1.316
P -5.031 5.500 2.353
Np -2.363 3.921 -0.550
```

Results
magnetic moment	3.00	μB/cell
formation energy (no corrections)	-0.780	eV/atom
space-group type	P-3

***

BaNp2SiP4 after structural relaxation, computed with PBE.

Cell and atoms, written as extended XYZ:
```
16
Lattice="-2.988 0.761 -2.671 -0.793 -6.864 2.047 -7.944 3.899 9.995" Properties=species:S:1:pos:R:3 pbc="T T T"
P -7.486 -0.357 5.156
P -9.630 0.695 7.853
Np -6.089 -2.651 6.055
P -7.898 -2.575 8.100
Ba -5.280 -3.749 1.723
Np -9.218 -1.115 9.993
P 0.000 0.000 0.000
P -3.972 1.949 4.998
Si -2.722 -1.111 2.728
P -3.827 0.371 1.271
P -4.239 -1.847 4.215
Np -5.636 0.447 3.316
P -2.095 -2.899 1.518
Ba -6.444 1.545 7.648
Np -2.507 -1.089 -0.622
Si -9.003 -1.094 6.643
```

Results
magnetic moment	14.74	μB/cell
formation energy (no corrections)	-0.705	eV/atom
space-group type	Cmcm

***

BaNpTcP2 after structural relaxation, computed with PBE.

Cell and atoms, written as extended XYZ:
```
5
Lattice="-0.232 -4.035 0.126 3.113 -0.259 -2.568 3.101 2.058 6.736" Properties=species:S:1:pos:R:3 pbc="T T T"
P 3.391 -0.066 4.118
P 2.591 -2.169 0.176
Tc 3.827 -0.174 1.474
Ba 0.000 0.000 0.000
Np 2.155 -2.062 2.820
```

Results
VASP energy	-7.6960	eV/atom
magnetic moment	2.85	μB/cell
space-group type	I-4m2

***

BaNpPaS6 after structural relaxation, computed with PBE.

Cell and atoms, written as extended XYZ:
```
18
Lattice="6.988 0.000 0.000 -3.494 6.052 0.000 0.000 0.000 13.165" Properties=species:S:1:pos:R:3 pbc="T T T"
S 1.302 2.304 4.747
Ba 0.000 0.000 0.000
S 1.345 2.280 11.329
Np 3.494 2.017 9.874
Pa 0.000 4.034 9.874
Pa 3.494 2.017 3.291
S 0.847 6.027 4.747
S 4.796 3.747 11.329
Np 0.000 4.034 3.291
S 5.643 2.280 8.418
S -2.149 3.772 4.747
S 2.192 3.747 8.418
S -0.847 6.027 1.835
S 4.341 0.025 11.329
S -1.302 2.304 1.835
Ba 0.000 0.000 6.582
S 2.149 3.772 1.835
S 2.646 0.025 8.418
```

Results
magnetic moment	4.00	μB/cell
formation energy (no corrections)	-1.492	eV/atom
space-group type	P-31c

***

Ba2NpPaS6 after structural relaxation, computed with PBE.

Cell and atoms, written as extended XYZ:
```
20
Lattice="-6.355 2.065 -2.872 -3.663 -3.877 5.320 -0.031 8.434 6.126" Properties=species:S:1:pos:R:3 pbc="T T T"
S -2.319 4.626 6.860
S -5.549 8.360 5.364
S -4.500 -1.739 3.210
S -7.986 6.600 7.821
S -7.730 1.996 1.714
S -5.607 4.902 2.887
Pa -3.178 1.033 -1.436
Pa -1.847 2.278 5.723
Np -1.832 -1.939 2.660
S -3.820 3.199 -0.050
Ba -4.696 1.403 2.491
S -7.985 3.202 5.260
S -2.064 0.022 0.753
Ba -3.558 -1.509 6.487
Np -3.193 5.249 1.627
Ba -6.491 8.131 2.087
S -2.065 3.420 3.314
Ba -5.354 5.219 6.083
S -6.229 3.423 8.624
S -4.442 1.720 5.687
```

Results
magnetic moment	8.04	μB/cell
formation energy (no corrections)	-1.792	eV/atom
space-group type	P2_1/c

***

Ba2NpPaSe6 after structural relaxation, computed with PBE.

Cell and atoms, written as extended XYZ:
```
20
Lattice="7.506 0.000 -0.023 0.000 7.933 0.000 0.034 0.000 10.884" Properties=species:S:1:pos:R:3 pbc="T T T"
Se 2.265 5.524 4.921
Ba 7.366 0.575 8.147
Se 3.084 7.753 8.194
Pa 3.753 0.000 -0.012
Se 5.275 2.409 5.941
Pa 0.017 3.967 5.442
Se 2.301 5.593 0.537
Se 0.720 3.786 8.121
Ba 0.175 7.359 2.714
Se 6.071 6.307 5.968
Se 6.820 4.147 2.740
Se 1.505 1.558 0.510
Se 1.469 1.626 4.894
Np 3.770 0.000 5.431
Ba 3.595 3.392 2.716
Np 0.000 3.967 0.000
Se 4.456 0.181 2.667
Se 6.035 6.376 10.351
Ba 3.945 4.541 8.145
Se 5.240 2.340 10.324
```

Results
magnetic moment	8.09	μB/cell
formation energy (no corrections)	-1.614	eV/atom
space-group type	P2_1/c

***

Ba2NpPbS6 after structural relaxation, computed with PBE.

Cell and atoms, written as extended XYZ:
```
10
Lattice="-4.491 4.394 -4.223 -0.085 -5.102 -5.220 -2.062 -1.690 6.789" Properties=species:S:1:pos:R:3 pbc="T T T"
Np -0.042 -2.551 -2.610
S -4.000 1.813 -4.347
S -4.041 -0.650 -6.867
Ba -4.572 -1.323 -3.737
S -2.489 -3.046 -2.086
S -4.148 0.649 -0.567
S -2.638 -4.211 1.694
S -2.597 -1.747 4.214
Ba -2.065 -1.074 1.084
Pb -2.245 2.197 -2.111
```

Results
magnetic moment	0.98	μB/cell
formation energy (no corrections)	-1.343	eV/atom
space-group type	C2/m

***

BaNpPd4 after structural relaxation, computed with PBE.

Cell and atoms, written as extended XYZ:
```
6
Lattice="5.591 0.000 0.000 2.796 4.842 0.000 2.796 1.614 4.565" Properties=species:S:1:pos:R:3 pbc="T T T"
Ba 0.000 0.000 0.000
Pd 4.205 4.029 2.849
Np 2.796 1.614 1.141
Pd 5.591 1.627 2.849
Pd 5.591 3.228 0.584
Pd 6.978 4.029 2.849
```

Results
VASP energy	-6.2235	eV/atom
magnetic moment	4.47	μB/cell
space-group type	F-43m

***

BaNpPd2S4 after structural relaxation, computed with PBE.

Cell and atoms, written as extended XYZ:
```
8
Lattice="-1.446 -4.834 4.449 3.662 -1.199 4.973 -2.578 1.246 5.601" Properties=species:S:1:pos:R:3 pbc="T T T"
S -1.757 -1.813 5.403
Np -0.181 -2.393 7.512
Pd -0.090 -1.196 3.757
Ba 0.000 0.000 0.000
S 2.027 -0.857 7.672
S -1.339 -1.902 9.895
Pd -0.272 -3.590 11.266
S 0.344 -5.000 7.076
```

Results
magnetic moment	3.73	μB/cell
formation energy (no corrections)	-0.981	eV/atom
space-group type	I-42m

***

BaNpPdS3 after structural relaxation, computed with PBE.

Cell and atoms, written as extended XYZ:
```
12
Lattice="4.063 0.000 0.000 0.000 8.446 -0.149 0.000 -2.376 8.737" Properties=species:S:1:pos:R:3 pbc="T T T"
Np 1.016 5.342 1.318
Ba 3.047 4.981 6.477
Pd 1.016 -0.519 5.067
S 3.047 7.164 1.028
Np 3.047 0.728 7.269
Ba 1.016 1.089 2.110
S 1.016 5.343 3.968
Pd 3.047 6.589 3.520
S 1.016 2.629 7.322
S 3.047 0.727 4.620
S 3.047 3.441 1.266
S 1.016 -1.094 7.559
```

Results
magnetic moment	6.67	μB/cell
formation energy (no corrections)	-1.373	eV/atom
space-group type	P2_1/m